Cs2RbSnBi2 after structural relaxation. Source: Alexandria via LeMat-Bulk, functional PBE.

Output
M_tot	0.00	Bohr magnetons per cell
density of states at the Fermi level	0.643	states/eV per atom
ΔE_f	-0.3234	eV/atom

Lattice parameters (Å, degrees): 10.518 10.518 10.518 129.35 69.40 135.88
Sites, in units of the cell vectors:
Cs 0.174 0.209 0.383
Cs 0.326 0.709 0.035
Cs 0.674 0.291 0.965
Cs 0.826 0.791 0.617
Rb 0.250 0.750 0.500
Rb 0.750 0.250 0.500
Sn 0.250 0.250 0.000
Sn 0.750 0.750 0.000
Bi 0.097 0.804 0.901
Bi 0.403 0.304 0.707
Bi 0.597 0.696 0.293
Bi 0.903 0.196 0.099